DFT (GGA-PBE) results for an optimized crystal structure of Hf2HgPb.

```
data_Hf2HgPb
_chemical_formula_sum 'Hf8 Hg4 Pb4'
_symmetry_space_group_name_H-M 'I -4 2 d'
_symmetry_Int_Tables_number 122
_symmetry_space_group_name_Hall 'I -4 2bw'
_cell_length_a 7.9008
_cell_length_b 7.9008
_cell_length_c 6.1810
_cell_angle_alpha 90.00
_cell_angle_beta 90.00
_cell_angle_gamma 90.00
loop_
_atom_site_label
_atom_site_type_symbol
_atom_site_fract_x
_atom_site_fract_y
_atom_site_fract_z
Hf1 Hf 0.2417 0.2500 0.1250
Hg1 Hg 0.0000 0.0000 0.0000
Pb1 Pb 0.0000 0.0000 0.5000
```

E in eV/atom: -5.72
Size of the total moment in μB per cell: 0.000

---

DFT (GGA-PBE) results for an optimized crystal structure of HfHgPb3.

```
data_HfHgPb3
_chemical_formula_sum 'Hf1 Hg1 Pb3'
_symmetry_space_group_name_H-M 'P m -3 m'
_symmetry_Int_Tables_number 221
_symmetry_space_group_name_Hall '-P 4 2 3'
_cell_length_a 5.6677
_cell_length_b 5.6677
_cell_length_c 5.6677
_cell_angle_alpha 90.00
_cell_angle_beta 90.00
_cell_angle_gamma 90.00
loop_
_atom_site_label
_atom_site_type_symbol
_atom_site_fract_x
_atom_site_fract_y
_atom_site_fract_z
Hf1 Hf 0.0000 0.0000 0.0000
Hg1 Hg 0.5000 0.5000 0.5000
Pb1 Pb 0.0000 0.0000 0.5000
```

E in eV/atom: -3.94
Size of the total moment in μB per cell: 0.000

---

DFT (GGA-PBE) results for an optimized crystal structure of HfHgPt2Pb.

```
data_HfHgPt2Pb
_chemical_formula_sum 'Hf1 Hg1 Pt2 Pb1'
_symmetry_space_group_name_H-M 'P 4/m m m'
_symmetry_Int_Tables_number 123
_symmetry_space_group_name_Hall '-P 4 2'
_cell_length_a 5.0046
_cell_length_b 5.0046
_cell_length_c 5.4487
_cell_angle_alpha 90.00
_cell_angle_beta 90.00
_cell_angle_gamma 90.00
loop_
_atom_site_label
_atom_site_type_symbol
_atom_site_fract_x
_atom_site_fract_y
_atom_site_fract_z
Hf1 Hf 0.0000 0.0000 0.0000
Hg1 Hg 0.0000 0.0000 0.5000
Pt1 Pt 0.0000 0.5000 0.0000
Pb1 Pb 0.5000 0.5000 0.5000
```

E in eV/atom: -4.83
Size of the total moment in μB per cell: 0.000

---

DFT (GGA-PBE) results for an optimized crystal structure of Hf2ReHgPb.

```
data_Hf2ReHgPb
_chemical_formula_sum 'Hf2 Re1 Hg1 Pb1'
_symmetry_space_group_name_H-M 'P 4/m m m'
_symmetry_Int_Tables_number 123
_symmetry_space_group_name_Hall '-P 4 2'
_cell_length_a 5.1706
_cell_length_b 5.1706
_cell_length_c 5.0096
_cell_angle_alpha 90.00
_cell_angle_beta 90.00
_cell_angle_gamma 90.00
loop_
_atom_site_label
_atom_site_type_symbol
_atom_site_fract_x
_atom_site_fract_y
_atom_site_fract_z
Hf1 Hf 0.0000 0.5000 0.0000
Re1 Re 0.0000 0.0000 0.5000
Hg1 Hg 0.0000 0.0000 0.0000
Pb1 Pb 0.5000 0.5000 0.5000
```

E in eV/atom: -5.75
Size of the total moment in μB per cell: 0.995

---

DFT (GGA-PBE) results for an optimized crystal structure of HfHgSbPb2.

```
data_HfHgSbPb2
_chemical_formula_sum 'Hf1 Hg1 Sb1 Pb2'
_symmetry_space_group_name_H-M 'P 4/m m m'
_symmetry_Int_Tables_number 123
_symmetry_space_group_name_Hall '-P 4 2'
_cell_length_a 5.6807
_cell_length_b 5.6807
_cell_length_c 5.4486
_cell_angle_alpha 90.00
_cell_angle_beta 90.00
_cell_angle_gamma 90.00
loop_
_atom_site_label
_atom_site_type_symbol
_atom_site_fract_x
_atom_site_fract_y
_atom_site_fract_z
Hf1 Hf 0.0000 0.0000 0.0000
Hg1 Hg 0.0000 0.0000 0.5000
Sb1 Sb 0.5000 0.5000 0.5000
Pb1 Pb 0.0000 0.5000 0.0000
```

E in eV/atom: -3.74
Size of the total moment in μB per cell: 0.000

---

DFT (GGA-PBE) results for an optimized crystal structure of HfScHgPb.

```
data_HfScHgPb
_chemical_formula_sum 'Hf4 Sc4 Hg4 Pb4'
_symmetry_space_group_name_H-M 'F -4 3 m'
_symmetry_Int_Tables_number 216
_symmetry_space_group_name_Hall 'F -4 2 3'
_cell_length_a 7.1376
_cell_length_b 7.1376
_cell_length_c 7.1376
_cell_angle_alpha 90.00
_cell_angle_beta 90.00
_cell_angle_gamma 90.00
loop_
_atom_site_label
_atom_site_type_symbol
_atom_site_fract_x
_atom_site_fract_y
_atom_site_fract_z
Hf1 Hf 0.0000 0.0000 0.0000
Sc1 Sc 0.0000 0.0000 0.5000
Hg1 Hg 0.2500 0.2500 0.2500
Pb1 Pb 0.2500 0.2500 0.7500
```

E in eV/atom: -5.15
Size of the total moment in μB per cell: 0.004

---

DFT (GGA-PBE) results for an optimized crystal structure of HfHg2Pd8.

```
data_HfHg2Pd8
_chemical_formula_sum 'Hf2 Hg4 Pd16'
_symmetry_space_group_name_H-M 'C 1 2/m 1'
_symmetry_Int_Tables_number 12
_symmetry_space_group_name_Hall '-C 2y'
_cell_length_a 7.2463
_cell_length_b 13.0963
_cell_length_c 4.6447
_cell_angle_alpha 90.00
_cell_angle_beta 116.72
_cell_angle_gamma 90.00
loop_
_atom_site_label
_atom_site_type_symbol
_atom_site_fract_x
_atom_site_fract_y
_atom_site_fract_z
Hf1 Hf 0.0000 0.0000 0.0000
Hg1 Hg 0.0000 0.3043 0.5000
Pd1 Pd 0.0000 0.1974 0.0000
Pd2 Pd 0.1010 0.5000 0.8106
Pd3 Pd 0.2065 0.1054 0.6296
```

E in eV/atom: -4.96
Size of the total moment in μB per cell: 0.000

---

DFT (GGA-PBE) results for an optimized crystal structure of HfHg3Pd12.

```
data_HfHg3Pd12
_chemical_formula_sum 'Hf1 Hg3 Pd12'
_symmetry_space_group_name_H-M 'P 4/m m m'
_symmetry_Int_Tables_number 123
_symmetry_space_group_name_Hall '-P 4 2'
_cell_length_a 4.0220
_cell_length_b 4.0220
_cell_length_c 16.3776
_cell_angle_alpha 90.00
_cell_angle_beta 90.00
_cell_angle_gamma 90.00
loop_
_atom_site_label
_atom_site_type_symbol
_atom_site_fract_x
_atom_site_fract_y
_atom_site_fract_z
Hf1 Hf 0.0000 0.0000 0.0000
Hg1 Hg 0.0000 0.0000 0.2495
Hg2 Hg 0.0000 0.0000 0.5000
Pd1 Pd 0.0000 0.5000 0.1196
Pd2 Pd 0.0000 0.5000 0.3747
Pd3 Pd 0.5000 0.5000 0.0000
Pd4 Pd 0.5000 0.5000 0.2464
Pd5 Pd 0.5000 0.5000 0.5000
```

E in eV/atom: -4.88
Size of the total moment in μB per cell: 0.000